# 1
36
Lattice="-3.9915 0.0570 -3.9988 -3.2511 -5.5376 5.3850 -5.0066 7.9087 5.1101" Properties=species:S:1:pos:R:3 comment="KNa2Ni2O4 PBEsol relaxed" spacegroup="P2_1/c (14)" density_g_cm3=3.6 final_energy_ev_per_atom=-5.36 e_form_raw_mev_per_atom=-1226 dos_at_fermi_per_ev_atom=0.382 pbc="T T T"
K -10.6407 1.7915 6.5867
K -5.6277 2.3334 4.4731
K -1.6084 0.6365 -0.0904
K -6.6215 0.0947 2.0232
Na -7.0186 5.0801 5.7539
Na -8.9296 -0.3618 4.7013
Na -5.2306 -2.6521 0.7424
Na -3.3196 2.7899 1.7950
Na -8.9724 2.8867 4.3989
Na -4.9166 4.9406 3.2623
Na -3.2768 -0.4586 2.0974
Na -7.3326 -2.5126 3.2340
Ni -8.6180 5.6329 3.2520
Ni -6.5733 0.1904 6.2347
Ni -3.6311 -3.2049 3.2443
Ni -5.6759 2.2377 0.2616
Ni -4.5866 0.0357 -0.8484
Ni -5.0548 -1.4373 4.6991
Ni -7.6626 2.3923 7.3447
Ni -7.1944 3.8654 1.7972
O -7.3025 4.3686 3.5720
O -6.5740 1.0053 7.8982
O -4.9467 -1.9405 2.9243
O -5.6751 1.4227 -1.4019
O -4.8701 -1.0274 -2.2816
O -6.5984 -0.5099 4.5521
O -7.3791 3.4555 8.7779
O -5.6508 2.9379 1.9442
O -4.3175 1.0705 0.6069
O -3.5289 -2.3877 4.8717
O -7.9317 1.3575 5.8894
O -8.7203 4.8157 1.6246
O -3.5167 -1.3456 -0.2755
O -5.1606 -0.9614 6.4720
O -8.7325 3.7736 6.7718
O -7.0886 3.3894 0.0243

=====

# 2
30
Lattice="5.9798 0.0000 0.0000 -2.9899 5.1786 0.0000 0.0000 0.0000 14.3576" Properties=species:S:1:pos:R:3 comment="K3NaOs2O9 PBEsol relaxed" spacegroup="P6_3/mmc (194)" density_g_cm3=5.0 final_energy_ev_per_atom=-6.47 e_form_raw_mev_per_atom=-1373 dos_at_fermi_per_ev_atom=0.406 pbc="T T T"
K 0.0000 0.0000 3.5894
K 0.0000 0.0000 10.7682
K 0.0000 3.4524 1.5483
K 2.9899 1.7262 12.8093
K 2.9899 1.7262 8.7271
K 0.0000 3.4524 5.6305
Na 0.0000 0.0000 0.0000
Na 0.0000 0.0000 7.1788
Os 2.9899 1.7262 2.1496
Os 0.0000 3.4524 12.2080
Os 0.0000 3.4524 9.3284
Os 2.9899 1.7262 5.0292
O 1.7670 2.4322 3.5894
O 4.2128 2.4322 3.5894
O 2.9899 0.3142 3.5894
O 1.2229 2.7464 10.7682
O -1.2229 2.7464 10.7682
O 0.0000 4.8645 10.7682
O 2.9899 3.3104 1.3044
O 4.3618 0.9341 1.3044
O 1.6180 0.9341 1.3044
O 0.0000 1.8683 13.0531
O -1.3719 4.2445 13.0531
O 1.3719 4.2445 13.0531
O 0.0000 1.8683 8.4832
O -1.3719 4.2445 8.4832
O 1.3719 4.2445 8.4832
O 2.9899 3.3104 5.8744
O 4.3618 0.9341 5.8744
O 1.6180 0.9341 5.8744

=====

# 3
36
Lattice="5.5924 0.0000 0.0000 -2.7962 4.9150 -0.0021 0.0000 -2.0067 18.5774" Properties=species:S:1:pos:R:3 comment="K2Na3P3O10 PBEsol relaxed" spacegroup="C2/c (15)" density_g_cm3=2.6 final_energy_ev_per_atom=-6.51 e_form_raw_mev_per_atom=-2273 dos_at_fermi_per_ev_atom=0.000 pbc="T T T"
K 4.0487 -0.2220 10.7199
K 1.2524 2.1270 17.1441
K -1.2524 3.1304 7.8554
K 1.5438 0.7813 1.4312
Na 1.7435 1.4890 6.1120
Na -1.0528 2.4227 3.1746
Na 1.0528 1.4193 12.4633
Na 3.8490 0.4857 15.4007
Na 1.3981 1.4542 9.2877
Na -1.3981 2.4575 -0.0010
P 4.3329 -0.1429 7.4076
P 1.5366 4.0546 1.8790
P -1.5367 3.0512 11.1677
P 1.2596 -1.1462 16.6963
P 5.0648 -0.5017 4.6443
P 0.5277 -1.5050 13.9330
O 1.5739 3.3145 7.8475
O 4.3701 0.5971 1.4391
O 1.2223 -0.4062 10.7278
O -1.5739 2.3112 17.1362
O 3.1423 0.6264 7.9649
O 0.3461 3.2853 1.3218
O -0.3461 2.2819 10.6105
O 2.4502 -0.3769 17.2535
O 0.0741 0.5827 7.5293
O 2.8703 3.3290 1.7574
O 2.7221 2.3256 11.0461
O -0.0741 -0.4206 16.8179
O 3.9733 -0.1720 5.7851
O 1.1770 4.0837 3.5015
O -1.1770 3.0803 12.7902
O 1.6192 -1.1753 15.0738
O 3.0507 3.1732 5.0037
O 0.2545 0.7385 4.2830
O -0.2545 -0.2648 13.5716
O 2.5417 2.1698 14.2924

=====

# 4
40
Lattice="7.2384 0.0000 0.0000 0.0000 9.7502 0.0000 0.0000 -4.8751 8.4439" Properties=species:S:1:pos:R:3 comment="KNaP6Pb8O24 PBEsol relaxed" spacegroup="P3 (143)" density_g_cm3=6.4 final_energy_ev_per_atom=-6.84 e_form_raw_mev_per_atom=-1960 dos_at_fermi_per_ev_atom=0.000 pbc="T T T"
K 3.5028 0.0000 0.0000
Na 0.0353 4.8751 2.8146
P 1.7732 1.7691 2.3185
P 1.7732 6.8578 0.3728
P 1.7732 5.9984 5.7526
P 5.4917 3.1823 0.5336
P 5.4917 7.6970 2.4891
P 5.4917 3.7461 5.4212
Pb 5.4519 1.2503 3.4210
Pb 5.4519 1.2873 7.8163
Pb 5.4519 -2.5376 5.6506
Pb 1.8013 -1.1928 7.7839
Pb 1.8013 -1.2695 3.5190
Pb 1.8013 2.4623 5.5850
Pb 7.1415 0.0000 0.0000
Pb 3.5580 4.8751 2.8146
O 1.7529 3.1445 3.0254
O 1.7529 5.5579 1.2105
O 1.7529 5.9230 4.2080
O 5.4624 -3.1002 8.3484
O 5.4624 -0.8047 1.5849
O 5.4624 3.9049 6.9546
O 1.6931 1.9489 0.7683
O 1.6931 8.1104 1.3036
O 1.6931 4.5660 6.3720
O 5.6620 3.0934 2.0842
O 5.6620 6.3986 1.6368
O 5.6620 5.1334 4.7229
O 0.5575 0.8825 2.7359
O 0.5575 2.0645 7.8402
O 0.5575 -2.9470 6.3118
O 4.1797 3.9760 0.2482
O 4.1797 7.5473 3.3193
O 4.1797 3.1020 4.8765
O 6.6481 -0.8436 8.3758
O 6.6481 -1.9568 3.5255
O 6.6481 2.8003 4.9866
O 3.0362 0.9528 2.6848
O 3.0362 2.0736 7.9267
O 3.0362 -3.0264 6.2764

=====

> What is the formula in the first record?

KNa2Ni2O4

=====

Copy entry 3 word for word.
36
Lattice="5.5924 0.0000 0.0000 -2.7962 4.9150 -0.0021 0.0000 -2.0067 18.5774" Properties=species:S:1:pos:R:3 comment="K2Na3P3O10 PBEsol relaxed" spacegroup="C2/c (15)" density_g_cm3=2.6 final_energy_ev_per_atom=-6.51 e_form_raw_mev_per_atom=-2273 dos_at_fermi_per_ev_atom=0.000 pbc="T T T"
K 4.0487 -0.2220 10.7199
K 1.2524 2.1270 17.1441
K -1.2524 3.1304 7.8554
K 1.5438 0.7813 1.4312
Na 1.7435 1.4890 6.1120
Na -1.0528 2.4227 3.1746
Na 1.0528 1.4193 12.4633
Na 3.8490 0.4857 15.4007
Na 1.3981 1.4542 9.2877
Na -1.3981 2.4575 -0.0010
P 4.3329 -0.1429 7.4076
P 1.5366 4.0546 1.8790
P -1.5367 3.0512 11.1677
P 1.2596 -1.1462 16.6963
P 5.0648 -0.5017 4.6443
P 0.5277 -1.5050 13.9330
O 1.5739 3.3145 7.8475
O 4.3701 0.5971 1.4391
O 1.2223 -0.4062 10.7278
O -1.5739 2.3112 17.1362
O 3.1423 0.6264 7.9649
O 0.3461 3.2853 1.3218
O -0.3461 2.2819 10.6105
O 2.4502 -0.3769 17.2535
O 0.0741 0.5827 7.5293
O 2.8703 3.3290 1.7574
O 2.7221 2.3256 11.0461
O -0.0741 -0.4206 16.8179
O 3.9733 -0.1720 5.7851
O 1.1770 4.0837 3.5015
O -1.1770 3.0803 12.7902
O 1.6192 -1.1753 15.0738
O 3.0507 3.1732 5.0037
O 0.2545 0.7385 4.2830
O -0.2545 -0.2648 13.5716
O 2.5417 2.1698 14.2924